GdSb (GGA-PBE, optimized geometry); SG = Fm-3m, No. 225; ρ = 7.59 g cm⁻³; ΔE_f (raw) = -1.16 eV/atom
1.0
0.0000 3.1256 3.1256
3.1256 0.0000 3.1256
3.1256 3.1256 0.0000
Gd Sb
1 1
Cartesian
0.0000 0.0000 0.0000
3.1256 3.1256 3.1256